1.
Below is a relaxed Mg2In12Sn5 crystal, with properties calculated at the PBE-GGA level.

Output
ρ   6.48 g/cm3
Space-group type   C2/m, No. 12

Lattice parameters (Å, degrees): 10.654 10.654 5.492 104.17 104.17 59.92
Sites, in units of the cell vectors:
Mg: 0.248 0.752 0.000
Mg: 0.752 0.248 0.000
In: 0.057 0.549 0.797
In: 0.097 0.097 0.069
In: 0.177 0.640 0.405
In: 0.360 0.823 0.595
In: 0.412 0.412 0.842
In: 0.451 0.943 0.203
In: 0.549 0.057 0.797
In: 0.588 0.588 0.158
In: 0.640 0.177 0.405
In: 0.823 0.360 0.595
In: 0.903 0.903 0.931
In: 0.943 0.451 0.203
Sn: 0.000 0.000 0.500
Sn: 0.195 0.195 0.644
Sn: 0.300 0.300 0.228
Sn: 0.700 0.700 0.772
Sn: 0.805 0.805 0.356

2.
Below is a relaxed Mg3In3Sn crystal, with properties calculated at the PBE-GGA level.

Output
ρ   5.11 g/cm3
ΔE to the lowest computed polymorph   0 meV per atom
Space-group type   P6_3/m, No. 176

Lattice parameters (Å, degrees): 8.500 8.500 5.568 90.00 90.00 120.00
Sites, in units of the cell vectors:
Mg: 0.046 0.808 0.250
Mg: 0.192 0.238 0.250
Mg: 0.238 0.046 0.750
Mg: 0.762 0.954 0.250
Mg: 0.808 0.762 0.750
Mg: 0.954 0.192 0.750
In: 0.097 0.632 0.750
In: 0.368 0.464 0.750
In: 0.464 0.097 0.250
In: 0.536 0.903 0.750
In: 0.632 0.536 0.250
In: 0.903 0.368 0.250
Sn: 0.333 0.667 0.250
Sn: 0.667 0.333 0.750

3.
Below is a relaxed MgIn12Sn6 crystal, with properties calculated at the PBE-GGA level.

Output
ρ   6.54 g/cm3
Space-group type   R-3, No. 148

Lattice parameters (Å, degrees): 8.709 8.709 8.709 107.87 107.87 107.87
Sites, in units of the cell vectors:
Mg: 0.000 0.000 0.000
In: 0.069 0.273 0.818
In: 0.179 0.515 0.639
In: 0.182 0.931 0.727
In: 0.273 0.818 0.069
In: 0.361 0.821 0.485
In: 0.485 0.361 0.821
In: 0.515 0.639 0.179
In: 0.639 0.179 0.515
In: 0.727 0.182 0.931
In: 0.818 0.069 0.273
In: 0.821 0.485 0.361
In: 0.931 0.727 0.182
Sn: 0.145 0.410 0.235
Sn: 0.235 0.145 0.410
Sn: 0.410 0.235 0.145
Sn: 0.590 0.765 0.855
Sn: 0.765 0.855 0.590
Sn: 0.855 0.590 0.765

4.
Below is a relaxed MgIn4Sn2 crystal, with properties calculated at the PBE-GGA level.

Output
ρ   5.86 g/cm3
Space-group type   I4/mmm, No. 139

Lattice parameters (Å, degrees): 7.458 7.458 7.458 134.99 134.99 65.54
Sites, in units of the cell vectors:
Mg: 0.000 0.000 0.000
In: 0.000 0.500 0.500
In: 0.250 0.750 0.500
In: 0.500 0.000 0.500
In: 0.750 0.250 0.500
Sn: 0.359 0.359 0.000
Sn: 0.641 0.641 0.000

5.
Below is a relaxed Mg6In2Sn crystal, with properties calculated at the PBE-GGA level.

Output
ρ   3.91 g/cm3
ΔE to the lowest computed polymorph   0 meV per atom
Space-group type   P4_2/mnm, No. 136

Lattice parameters (Å, degrees): 9.660 9.660 4.501 90.00 90.00 90.00
Sites, in units of the cell vectors:
Mg: 0.006 0.334 0.000
Mg: 0.158 0.842 0.500
Mg: 0.166 0.506 0.500
Mg: 0.334 0.006 0.000
Mg: 0.342 0.342 0.000
Mg: 0.494 0.834 0.500
Mg: 0.506 0.166 0.500
Mg: 0.658 0.658 0.000
Mg: 0.666 0.994 0.000
Mg: 0.834 0.494 0.500
Mg: 0.842 0.158 0.500
Mg: 0.994 0.666 0.000
In: 0.179 0.179 0.500
In: 0.321 0.679 0.000
In: 0.679 0.321 0.000
In: 0.821 0.821 0.500
Sn: 0.000 0.000 0.000
Sn: 0.500 0.500 0.500

6.
Below is a relaxed Mg6InSn12 crystal, with properties calculated at the PBE-GGA level.

Output
ρ   5.68 g/cm3
Space-group type   R-3, No. 148

Lattice parameters (Å, degrees): 7.904 7.904 7.904 87.63 87.63 87.63
Sites, in units of the cell vectors:
Mg: 0.225 0.614 0.768
Mg: 0.232 0.775 0.386
Mg: 0.386 0.232 0.775
Mg: 0.614 0.768 0.225
Mg: 0.768 0.225 0.614
Mg: 0.775 0.386 0.232
In: 0.500 0.500 0.500
Sn: 0.034 0.301 0.935
Sn: 0.065 0.966 0.699
Sn: 0.129 0.342 0.482
Sn: 0.301 0.935 0.034
Sn: 0.342 0.482 0.129
Sn: 0.482 0.129 0.342
Sn: 0.518 0.871 0.658
Sn: 0.658 0.518 0.871
Sn: 0.699 0.065 0.966
Sn: 0.871 0.658 0.518
Sn: 0.935 0.034 0.301
Sn: 0.966 0.699 0.065

7.
Below is a relaxed Mg8In3Sn2 crystal, with properties calculated at the PBE-GGA level.

Output
ρ   3.85 g/cm3
Space-group type   Cmmm, No. 65

Lattice parameters (Å, degrees): 8.670 8.670 4.806 90.00 90.00 111.89
Sites, in units of the cell vectors:
Mg: 0.116 0.377 0.500
Mg: 0.120 0.880 0.000
Mg: 0.363 0.637 0.000
Mg: 0.377 0.116 0.500
Mg: 0.623 0.884 0.500
Mg: 0.637 0.363 0.000
Mg: 0.880 0.120 0.000
Mg: 0.884 0.623 0.500
In: 0.252 0.252 0.000
In: 0.500 0.500 0.500
In: 0.748 0.748 0.000
Sn: 0.245 0.755 0.500
Sn: 0.755 0.245 0.500

8.
Below is a relaxed MgIn5Sn crystal, with properties calculated at the PBE-GGA level.

Output
ρ   6.17 g/cm3
Space-group type   P4/mmm, No. 123

Lattice parameters (Å, degrees): 4.619 4.619 9.043 90.00 90.00 90.00
Sites, in units of the cell vectors:
Mg: 0.000 0.000 0.000
In: 0.000 0.500 0.260
In: 0.000 0.500 0.740
In: 0.500 0.000 0.260
In: 0.500 0.000 0.740
In: 0.500 0.500 0.000
Sn: 0.000 0.000 0.500

9.
Below is a relaxed Mg4InSn4 crystal, with properties calculated at the PBE-GGA level.

Output
ρ   5.13 g/cm3
Space-group type   I4/m, No. 87

Lattice parameters (Å, degrees): 8.210 8.210 8.210 92.53 92.53 155.73
Sites, in units of the cell vectors:
Mg: 0.141 0.816 0.957
Mg: 0.184 0.141 0.325
Mg: 0.816 0.859 0.675
Mg: 0.859 0.184 0.043
In: 0.500 0.500 0.000
Sn: 0.177 0.545 0.723
Sn: 0.455 0.177 0.632
Sn: 0.545 0.823 0.368
Sn: 0.823 0.455 0.277

10.
Below is a relaxed Mg8In6Sn crystal, with properties calculated at the PBE-GGA level.

Output
ρ   4.41 g/cm3
Space-group type   R-3, No. 148

Lattice parameters (Å, degrees): 7.349 7.349 7.349 78.80 78.80 78.80
Sites, in units of the cell vectors:
Mg: 0.049 0.378 0.846
Mg: 0.154 0.951 0.622
Mg: 0.233 0.233 0.233
Mg: 0.378 0.846 0.049
Mg: 0.622 0.154 0.951
Mg: 0.767 0.767 0.767
Mg: 0.846 0.049 0.378
Mg: 0.951 0.622 0.154
In: 0.190 0.598 0.446
In: 0.402 0.554 0.810
In: 0.446 0.190 0.598
In: 0.554 0.810 0.402
In: 0.598 0.446 0.190
In: 0.810 0.402 0.554
Sn: 0.000 0.000 0.000

11.
Below is a relaxed Mg2In3Sn2 crystal, with properties calculated at the PBE-GGA level.

Output
ρ   5.87 g/cm3
Space-group type   P-1, No. 2

Lattice parameters (Å, degrees): 5.709 5.712 5.769 99.74 100.37 100.13
Sites, in units of the cell vectors:
Mg: 0.074 0.150 0.284
Mg: 0.926 0.850 0.716
In: 0.359 0.719 0.443
In: 0.500 0.000 0.000
In: 0.641 0.281 0.557
Sn: 0.196 0.405 0.847
Sn: 0.804 0.595 0.153

12.
Below is a relaxed MgIn3Sn4 crystal, with properties calculated at the PBE-GGA level.

Output
ρ   6.59 g/cm3
Space-group type   P4/mmm, No. 123

Lattice parameters (Å, degrees): 3.389 3.389 18.513 90.00 90.00 90.00
Sites, in units of the cell vectors:
Mg: 0.000 0.000 0.000
In: 0.000 0.000 0.243
In: 0.000 0.000 0.500
In: 0.000 0.000 0.757
Sn: 0.500 0.500 0.112
Sn: 0.500 0.500 0.371
Sn: 0.500 0.500 0.629
Sn: 0.500 0.500 0.888

13.
Below is a relaxed Mg6InSn3 crystal, with properties calculated at the PBE-GGA level.

Output
ρ   4.02 g/cm3
Space-group type   Cmc2_1, No. 36

Lattice parameters (Å, degrees): 9.177 9.177 6.232 90.00 90.00 103.64
Sites, in units of the cell vectors:
Mg: 0.024 0.976 0.500
Mg: 0.055 0.439 0.129
Mg: 0.242 0.758 0.405
Mg: 0.327 0.375 0.402
Mg: 0.375 0.327 0.902
Mg: 0.439 0.055 0.629
Mg: 0.561 0.945 0.129
Mg: 0.625 0.673 0.402
Mg: 0.673 0.625 0.902
Mg: 0.758 0.242 0.905
Mg: 0.945 0.561 0.629
Mg: 0.976 0.024 0.000
In: 0.190 0.810 0.865
In: 0.810 0.190 0.365
Sn: 0.073 0.297 0.691
Sn: 0.297 0.073 0.191
Sn: 0.380 0.620 0.076
Sn: 0.620 0.380 0.576
Sn: 0.703 0.927 0.691
Sn: 0.927 0.703 0.191

14.
Below is a relaxed Mg2InSn2 crystal, with properties calculated at the PBE-GGA level.

Output
ρ   5.24 g/cm3
ΔE to the lowest computed polymorph   0 meV per atom
Space-group type   P4/mbm, No. 127

Lattice parameters (Å, degrees): 8.870 8.870 3.226 90.00 90.00 90.00
Sites, in units of the cell vectors:
Mg: 0.136 0.364 0.000
Mg: 0.364 0.864 0.000
Mg: 0.636 0.136 0.000
Mg: 0.864 0.636 0.000
In: 0.000 0.000 0.500
In: 0.500 0.500 0.500
Sn: 0.160 0.660 0.500
Sn: 0.340 0.160 0.500
Sn: 0.660 0.840 0.500
Sn: 0.840 0.340 0.500

15.
Below is a relaxed MgIn2Sn crystal, with properties calculated at the PBE-GGA level.

Output
ρ   6.02 g/cm3
ΔE to the lowest computed polymorph   0 meV per atom
Space-group type   P4mm, No. 99

Lattice parameters (Å, degrees): 3.392 3.392 8.936 90.00 90.00 90.00
Sites, in units of the cell vectors:
Mg: 0.000 0.000 0.000
In: 0.000 0.000 0.507
In: 0.500 0.500 0.234
Sn: 0.500 0.500 0.771

16.
Below is a relaxed MgIn4Sn crystal, with properties calculated at the PBE-GGA level.

Output
ρ   6.31 g/cm3
ΔE to the lowest computed polymorph   0 meV per atom
Space-group type   C2/c, No. 15

Lattice parameters (Å, degrees): 9.490 9.490 5.708 93.92 93.92 140.95
Sites, in units of the cell vectors:
Mg: 0.206 0.794 0.750
Mg: 0.794 0.206 0.250
In: 0.116 0.384 0.748
In: 0.205 0.293 0.254
In: 0.293 0.205 0.754
In: 0.384 0.116 0.248
In: 0.616 0.884 0.752
In: 0.707 0.795 0.246
In: 0.795 0.707 0.746
In: 0.884 0.616 0.252
Sn: 0.295 0.705 0.250
Sn: 0.705 0.295 0.750

17.
Below is a relaxed MgIn5Sn2 crystal, with properties calculated at the PBE-GGA level.

Output
ρ   6.58 g/cm3
Space-group type   Pbam, No. 55

Lattice parameters (Å, degrees): 6.977 13.942 4.337 90.00 90.00 90.00
Sites, in units of the cell vectors:
Mg: 0.000 0.000 0.000
Mg: 0.500 0.500 0.000
In: 0.000 0.500 0.000
In: 0.008 0.251 0.000
In: 0.248 0.624 0.500
In: 0.252 0.124 0.500
In: 0.492 0.751 0.000
In: 0.500 0.000 0.000
In: 0.508 0.249 0.000
In: 0.748 0.876 0.500
In: 0.752 0.376 0.500
In: 0.992 0.749 0.000
Sn: 0.233 0.881 0.500
Sn: 0.267 0.381 0.500
Sn: 0.733 0.619 0.500
Sn: 0.767 0.119 0.500

18.
Below is a relaxed Mg6In5Sn crystal, with properties calculated at the PBE-GGA level.

Output
ρ   4.88 g/cm3
ΔE to the lowest computed polymorph   20 meV per atom
Space-group type   C2/m, No. 12

Lattice parameters (Å, degrees): 8.038 8.038 7.285 90.38 90.38 142.65
Sites, in units of the cell vectors:
Mg: 0.166 0.834 0.248
Mg: 0.166 0.834 0.752
Mg: 0.499 0.499 0.253
Mg: 0.501 0.501 0.747
Mg: 0.834 0.166 0.248
Mg: 0.834 0.166 0.752
In: 0.000 0.000 0.000
In: 0.331 0.669 0.500
In: 0.334 0.666 0.000
In: 0.666 0.334 0.000
In: 0.669 0.331 0.500
Sn: 0.000 0.000 0.500

19.
Below is a relaxed Mg3In2Sn3 crystal, with properties calculated at the PBE-GGA level.

Output
ρ   5.52 g/cm3
ΔE to the lowest computed polymorph   0 meV per atom
Space-group type   Immm, No. 71

Lattice parameters (Å, degrees): 10.234 10.234 10.234 155.75 153.19 36.46
Sites, in units of the cell vectors:
Mg: 0.000 0.000 0.000
Mg: 0.376 0.876 0.500
Mg: 0.624 0.124 0.500
In: 0.250 0.250 0.000
In: 0.750 0.750 0.000
Sn: 0.120 0.620 0.500
Sn: 0.500 0.500 0.000
Sn: 0.880 0.380 0.500

20.
Below is a relaxed Mg3In2Sn crystal, with properties calculated at the PBE-GGA level.

Output
ρ   4.94 g/cm3
ΔE to the lowest computed polymorph   0 meV per atom
Space-group type   P4/mmm, No. 123

Lattice parameters (Å, degrees): 3.310 3.310 12.935 90.00 90.00 90.00
Sites, in units of the cell vectors:
Mg: 0.000 0.000 0.000
Mg: 0.000 0.000 0.336
Mg: 0.000 0.000 0.664
In: 0.500 0.500 0.170
In: 0.500 0.500 0.830
Sn: 0.500 0.500 0.500

Listing E for the structures above in their given order: -2.924; -2.452; -3.035; -2.803; -2.203; -3.181; -2.309; -2.724; -2.845; -2.217; -2.811; -3.229; -2.489; -2.866; -2.818; -2.764; -2.917; -2.349; -2.856; -2.481 eV per atom.